TcHg2Sb PBE relaxed; formation energy from raw total energies = 0.267 eV per atom; size of the total moment = 0.029 μB/atom; E_tot = -3.5056 eV/atom
1.0
-9.581 -0.494 4.310
-7.864 -1.513 6.818
-8.253 1.628 6.313
Sb Hg Tc
1 2 1
Cartesian
-12.393 -0.183 8.412
-0.348 -0.005 0.236
-6.443 -0.095 4.373
-19.362 -0.286 13.141

Sm2SiAs PBE relaxed; formation energy from raw total energies = -1.132 eV per atom; size of the total moment = 0.000 μB/atom; E_tot = -6.0093 eV/atom
1.0
4.026 0.000 0.000
0.000 4.255 -0.756
0.000 -0.104 11.772
Sm Si As
4 2 2
Cartesian
3.020 2.879 3.855
3.020 3.888 9.536
1.007 0.263 1.480
1.007 1.272 7.161
1.007 1.883 10.601
3.020 2.268 0.415
3.020 3.390 6.731
1.007 0.761 4.286

HfCuIN2 PBE relaxed; formation energy from raw total energies = 0.436 eV per atom; size of the total moment = 0.000 μB/atom; E_tot = -6.0142 eV/atom
1.0
4.071 0.000 0.000
0.000 4.071 0.000
0.000 0.000 6.217
Cu N Hf I
1 2 1 1
Cartesian
2.035 2.035 3.109
0.000 2.035 0.000
2.035 0.000 0.000
0.000 0.000 0.000
0.000 0.000 3.109

TmZr2Ti PBE relaxed; size of the total moment = 0.000 μB/atom; E_form = 0.146 eV per atom; E_tot = -7.2201 eV/atom
1.0
-1.875 -1.208 -2.292
1.292 -1.087 -2.716
0.735 -10.237 2.563
Ti Zr Tm
1 2 1
Cartesian
0.000 0.000 0.000
0.133 -9.588 -1.749
0.020 -2.944 -0.696
0.076 -6.266 -1.222

SmPuCo PBE relaxed; size of the total moment = 1.542 μB/atom; E_form = 0.083 eV per atom; E_tot = -8.6359 eV/atom
1.0
3.469 0.000 0.000
0.000 3.469 0.000
-1.735 -1.735 5.587
Pu Co Sm
1 1 1
Cartesian
0.000 0.000 3.288
1.735 1.735 2.157
0.000 0.000 0.142

CdPd6Rh PBE relaxed; size of the total moment = 0.202 μB/atom; E_form = 0.465 eV per atom; E_tot = -4.4625 eV/atom
1.0
5.079 0.000 1.135
2.413 4.470 1.135
0.926 0.553 7.789
Cd Pd Rh
1 6 1
Cartesian
0.000 0.000 0.000
5.138 4.570 6.880
3.280 0.452 3.178
7.660 4.570 7.443
0.758 0.452 2.615
1.956 2.672 3.178
6.462 2.351 6.880
4.209 2.511 5.029

CsRbPd2Cl PBE relaxed; formation energy from raw total energies = 0.294 eV per atom; size of the total moment = 0.000 μB/atom; E_tot = -2.5172 eV/atom
1.0
-4.302 -3.001 -0.535
1.112 0.307 -10.664
2.999 -4.333 0.188
Rb Cs Pd Cl
1 1 2 1
Cartesian
0.000 0.000 0.000
0.556 0.153 -5.332
-2.151 -1.501 -0.267
1.500 -2.166 0.094
-0.096 -3.514 -5.505

MgTeO PBE relaxed; formation energy from raw total energies = -1.484 eV per atom; size of the total moment = 0.000 μB/atom; E_tot = -4.7158 eV/atom
1.0
3.432 0.000 0.000
-1.716 2.438 -1.789
0.000 1.246 12.668
Mg O Te
2 2 2
Cartesian
0.000 1.625 4.283
1.716 2.058 6.596
1.716 0.783 4.865
0.000 2.901 6.014
1.716 2.093 10.600
0.000 1.591 0.279

What did the seventh record say?
CsRbPd2Cl PBE relaxed; formation energy from raw total energies = 0.294 eV per atom; size of the total moment = 0.000 μB/atom; E_tot = -2.5172 eV/atom
1.0
-4.302 -3.001 -0.535
1.112 0.307 -10.664
2.999 -4.333 0.188
Rb Cs Pd Cl
1 1 2 1
Cartesian
0.000 0.000 0.000
0.556 0.153 -5.332
-2.151 -1.501 -0.267
1.500 -2.166 0.094
-0.096 -3.514 -5.505